DFT (GGA-PBE) results for an optimized crystal structure of La2TmC2I2.

Cell lengths 10.2358, 10.2358, 10.2358 Å; angles 154.44, 154.44, 36.46 degrees
Fractional positions:
La 0.0823 0.0823 0.0000
La 0.9177 0.9177 0.0000
Tm 0.5000 0.5000 0.0000
C 0.0000 0.5000 0.5000
C 0.5000 0.0000 0.5000
I 0.3336 0.3336 0.0000
I 0.6664 0.6664 0.0000

Summary:
**Raw formation energy**: -0.6340 eV/atom
**Crystal system**: tetragonal
**Total DFT energy (no corrections)**: -5.759 eV per atom